# NbTlHgI6, optimized geometry, DFT GGA-PBE
data_NbTlHgI6
_cell_length_a 8.321
_cell_length_b 8.321
_cell_length_c 14.062
_cell_angle_alpha 90.00
_cell_angle_beta 90.00
_cell_angle_gamma 120.00
_symmetry_space_group_name_H-M 'P 1'
_symmetry_Int_Tables_number 1
loop_
_symmetry_equiv_pos_as_xyz
'x,y,z'
loop_
_atom_site_label
_atom_site_fract_x
_atom_site_fract_y
_atom_site_fract_z
Nb1 0.667 0.333 0.250
Nb2 0.333 0.667 0.750
Tl1 0.333 0.667 0.250
Tl2 0.667 0.333 0.750
Hg1 0.000 0.000 0.000
Hg2 0.000 0.000 0.500
I1 0.656 0.600 0.134
I2 0.944 0.344 0.134
I3 0.344 0.944 0.634
I4 0.056 0.656 0.866
I5 0.400 0.344 0.366
I6 0.944 0.600 0.366
I7 0.600 0.944 0.866
I8 0.656 0.056 0.366
I9 0.056 0.400 0.634
I10 0.400 0.056 0.134
I11 0.600 0.656 0.634
I12 0.344 0.400 0.866
# Crystal system   trigonal
# Space-group type   P-31c, No. 163


# NbZnHgI2, optimized geometry, DFT GGA-PBE
data_NbZnHgI2
_cell_length_a 5.703
_cell_length_b 5.023
_cell_length_c 5.703
_cell_angle_alpha 90.00
_cell_angle_beta 90.00
_cell_angle_gamma 90.00
_symmetry_space_group_name_H-M 'P 1'
_symmetry_Int_Tables_number 1
loop_
_symmetry_equiv_pos_as_xyz
'x,y,z'
loop_
_atom_site_label
_atom_site_fract_x
_atom_site_fract_y
_atom_site_fract_z
I1 0.000 0.000 0.500
I2 0.500 0.000 0.000
Zn1 0.000 0.000 0.000
Nb1 0.500 0.500 0.500
Hg1 0.000 0.500 0.000
# Crystal system   tetragonal
# Space-group type   P4/mmm, No. 123


# ZrNbHgI, optimized geometry, DFT GGA-PBE
data_ZrNbHgI
_cell_length_a 3.312
_cell_length_b 5.009
_cell_length_c 5.202
_cell_angle_alpha 90.00
_cell_angle_beta 90.00
_cell_angle_gamma 90.00
_symmetry_space_group_name_H-M 'P 1'
_symmetry_Int_Tables_number 1
loop_
_symmetry_equiv_pos_as_xyz
'x,y,z'
loop_
_atom_site_label
_atom_site_fract_x
_atom_site_fract_y
_atom_site_fract_z
I1 0.500 0.500 0.510
Nb1 0.000 0.500 0.953
Hg1 0.500 0.000 0.996
Zr1 0.000 0.000 0.496
# E above lowest polymorph   0.2250 eV per atom
# Crystal system   orthorhombic
# Space-group type   Pmm2, No. 25


# ZrNbHgI, optimized geometry, DFT GGA-PBE
data_ZrNbHgI
_cell_length_a 5.122
_cell_length_b 3.355
_cell_length_c 10.896
_cell_angle_alpha 90.00
_cell_angle_beta 96.47
_cell_angle_gamma 90.00
_symmetry_space_group_name_H-M 'P 1'
_symmetry_Int_Tables_number 1
loop_
_symmetry_equiv_pos_as_xyz
'x,y,z'
loop_
_atom_site_label
_atom_site_fract_x
_atom_site_fract_y
_atom_site_fract_z
I1 0.484 0.000 0.972
I2 0.484 0.500 0.472
Nb1 0.960 0.000 0.878
Nb2 0.960 0.500 0.378
Hg1 0.015 0.000 0.621
Hg2 0.015 0.500 0.121
Zr1 0.519 0.000 0.251
Zr2 0.519 0.500 0.751
# E above lowest polymorph   0.1837 eV per atom
# Crystal system   monoclinic
# Space-group type   Cm, No. 8


# ZrNbHgI, optimized geometry, DFT GGA-PBE
data_ZrNbHgI
_cell_length_a 3.642
_cell_length_b 3.642
_cell_length_c 7.500
_cell_angle_alpha 90.00
_cell_angle_beta 90.00
_cell_angle_gamma 90.00
_symmetry_space_group_name_H-M 'P 1'
_symmetry_Int_Tables_number 1
loop_
_symmetry_equiv_pos_as_xyz
'x,y,z'
loop_
_atom_site_label
_atom_site_fract_x
_atom_site_fract_y
_atom_site_fract_z
I1 0.500 0.500 0.429
Nb1 0.500 0.500 0.848
Hg1 0.000 0.000 0.052
Zr1 0.000 0.000 0.649
# E above lowest polymorph   0.0808 eV per atom
# Crystal system   tetragonal
# Space-group type   P4mm, No. 99


# ZrNbHgI, optimized geometry, DFT GGA-PBE
data_ZrNbHgI
_cell_length_a 4.607
_cell_length_b 3.448
_cell_length_c 5.618
_cell_angle_alpha 90.00
_cell_angle_beta 90.00
_cell_angle_gamma 90.00
_symmetry_space_group_name_H-M 'P 1'
_symmetry_Int_Tables_number 1
loop_
_symmetry_equiv_pos_as_xyz
'x,y,z'
loop_
_atom_site_label
_atom_site_fract_x
_atom_site_fract_y
_atom_site_fract_z
I1 0.000 0.500 0.398
Nb1 0.500 0.500 0.073
Hg1 0.000 0.000 0.919
Zr1 0.500 0.000 0.587
# E above lowest polymorph   0.1713 eV per atom
# Crystal system   orthorhombic
# Space-group type   Pmm2, No. 25


# ZrNbHgI, optimized geometry, DFT GGA-PBE
data_ZrNbHgI
_cell_length_a 3.360
_cell_length_b 5.044
_cell_length_c 5.565
_cell_angle_alpha 101.55
_cell_angle_beta 107.41
_cell_angle_gamma 90.08
_symmetry_space_group_name_H-M 'P 1'
_symmetry_Int_Tables_number 1
loop_
_symmetry_equiv_pos_as_xyz
'x,y,z'
loop_
_atom_site_label
_atom_site_fract_x
_atom_site_fract_y
_atom_site_fract_z
I1 0.704 0.811 0.503
Nb1 0.984 0.692 0.061
Hg1 0.456 0.192 0.005
Zr1 0.190 0.310 0.477
# E above lowest polymorph   0.2111 eV per atom
# Crystal system   triclinic
# Space-group type   P1, No. 1


# ZrNbHgI, optimized geometry, DFT GGA-PBE
data_ZrNbHgI
_cell_length_a 3.400
_cell_length_b 5.445
_cell_length_c 5.540
_cell_angle_alpha 99.92
_cell_angle_beta 107.18
_cell_angle_gamma 107.07
_symmetry_space_group_name_H-M 'P 1'
_symmetry_Int_Tables_number 1
loop_
_symmetry_equiv_pos_as_xyz
'x,y,z'
loop_
_atom_site_label
_atom_site_fract_x
_atom_site_fract_y
_atom_site_fract_z
I1 0.917 0.457 0.622
Nb1 0.240 0.035 0.678
Hg1 0.898 0.956 0.104
Zr1 0.244 0.529 0.193
# E above lowest polymorph   0.2019 eV per atom
# Crystal system   triclinic
# Space-group type   P1, No. 1


For the records above, the corresponding DFT total energy values read -2.851; -2.161; -4.841; -4.883; -4.985; -4.895; -4.855; -4.864 eV/atom.
For the records above, the corresponding M_tot values read 0.08; 4.10; 0.00; 0.00; 0.00; 0.00; 0.00; 0.00 μB/f.u..